DFT (SCAN) results for a PBEsol-optimized structure of CaZrP2.

```
data_CaZrP2
_chemical_formula_sum 'Ca1 Zr1 P2'
_symmetry_space_group_name_H-M 'P 1'
_symmetry_Int_Tables_number 1
_cell_length_a 3.645
_cell_length_b 4.121
_cell_length_c 5.312
_cell_angle_alpha 90.00
_cell_angle_beta 110.06
_cell_angle_gamma 90.00
loop_
_symmetry_equiv_pos_as_xyz
'x,y,z'
loop_
_atom_site_label
_atom_site_type_symbol
_atom_site_fract_x
_atom_site_fract_y
_atom_site_fract_z
Ca1 Ca 0.243 0.000 0.487
P1 P 0.979 0.000 0.958
P2 P 0.777 0.500 0.554
Zr1 Zr 0.501 0.500 0.002
```

Summary:
N(E_F): 0.281 states/eV per atom
space group: Amm2 (38)


DFT (SCAN) results for a PBEsol-optimized structure of CaZrP2.

```
data_CaZrP2
_chemical_formula_sum 'Ca2 Zr2 P4'
_symmetry_space_group_name_H-M 'P 1'
_symmetry_Int_Tables_number 1
_cell_length_a 6.275
_cell_length_b 6.275
_cell_length_c 6.275
_cell_angle_alpha 76.74
_cell_angle_beta 67.34
_cell_angle_gamma 112.66
loop_
_symmetry_equiv_pos_as_xyz
'x,y,z'
loop_
_atom_site_label
_atom_site_type_symbol
_atom_site_fract_x
_atom_site_fract_y
_atom_site_fract_z
P1 P 0.968 0.343 0.125
P2 P 0.032 0.907 0.625
P3 P 0.532 0.625 0.343
P4 P 0.468 0.125 0.907
Ca1 Ca 0.000 0.500 0.500
Ca2 Ca 0.500 0.750 0.750
Zr1 Zr 0.000 0.000 0.000
Zr2 Zr 0.500 0.250 0.250
```

Summary:
space group: I-42d (122)


DFT (SCAN) results for a PBEsol-optimized structure of CaZrP2.

```
data_CaZrP2
_chemical_formula_sum 'Ca1 Zr1 P2'
_symmetry_space_group_name_H-M 'P 1'
_symmetry_Int_Tables_number 1
_cell_length_a 4.712
_cell_length_b 4.712
_cell_length_c 4.712
_cell_angle_alpha 60.00
_cell_angle_beta 60.00
_cell_angle_gamma 60.00
loop_
_symmetry_equiv_pos_as_xyz
'x,y,z'
loop_
_atom_site_label
_atom_site_type_symbol
_atom_site_fract_x
_atom_site_fract_y
_atom_site_fract_z
Ca1 Ca 0.000 0.000 0.000
P1 P 0.250 0.250 0.250
P2 P 0.750 0.750 0.750
Zr1 Zr 0.500 0.500 0.500
```

Summary:
N(E_F): 0.526 states/eV per atom
space group: Fm-3m (225)


DFT (SCAN) results for a PBEsol-optimized structure of Ca2ZrP.

```
data_Ca2ZrP
_chemical_formula_sum 'Ca2 Zr1 P1'
_symmetry_space_group_name_H-M 'P 1'
_symmetry_Int_Tables_number 1
_cell_length_a 3.585
_cell_length_b 5.219
_cell_length_c 6.339
_cell_angle_alpha 114.31
_cell_angle_beta 106.43
_cell_angle_gamma 90.00
loop_
_symmetry_equiv_pos_as_xyz
'x,y,z'
loop_
_atom_site_label
_atom_site_type_symbol
_atom_site_fract_x
_atom_site_fract_y
_atom_site_fract_z
Ca1 Ca 0.994 0.994 0.989
Ca2 Ca 0.808 0.308 0.616
P1 P 0.517 0.517 0.034
Zr1 Zr 0.181 0.681 0.361
```

Summary:
N(E_F): 0.611 states/eV per atom
space group: Imm2 (44)


DFT (SCAN) results for a PBEsol-optimized structure of CaZrP2.

```
data_CaZrP2
_chemical_formula_sum 'Ca1 Zr1 P2'
_symmetry_space_group_name_H-M 'P 1'
_symmetry_Int_Tables_number 1
_cell_length_a 3.799
_cell_length_b 3.799
_cell_length_c 6.896
_cell_angle_alpha 74.01
_cell_angle_beta 74.01
_cell_angle_gamma 60.00
loop_
_symmetry_equiv_pos_as_xyz
'x,y,z'
loop_
_atom_site_label
_atom_site_type_symbol
_atom_site_fract_x
_atom_site_fract_y
_atom_site_fract_z
P1 P 0.242 0.242 0.274
P2 P 0.758 0.758 0.726
Ca1 Ca 0.000 0.000 0.000
Zr1 Zr 0.500 0.500 0.500
```

Summary:
N(E_F): 0.117 states/eV per atom
space group: R-3m (166)


DFT (SCAN) results for a PBEsol-optimized structure of Ca2ZrP.

```
data_Ca2ZrP
_chemical_formula_sum 'Ca2 Zr1 P1'
_symmetry_space_group_name_H-M 'P 1'
_symmetry_Int_Tables_number 1
_cell_length_a 3.439
_cell_length_b 3.439
_cell_length_c 10.115
_cell_angle_alpha 80.21
_cell_angle_beta 80.21
_cell_angle_gamma 60.00
loop_
_symmetry_equiv_pos_as_xyz
'x,y,z'
loop_
_atom_site_label
_atom_site_type_symbol
_atom_site_fract_x
_atom_site_fract_y
_atom_site_fract_z
Ca1 Ca 0.233 0.233 0.302
Ca2 Ca 0.767 0.767 0.698
P1 P 0.500 0.500 0.500
Zr1 Zr 0.000 0.000 0.000
```

Summary:
N(E_F): 0.967 states/eV per atom
space group: R-3m (166)


DFT (SCAN) results for a PBEsol-optimized structure of CaZrP2.

```
data_CaZrP2
_chemical_formula_sum 'Ca1 Zr1 P2'
_symmetry_space_group_name_H-M 'P 1'
_symmetry_Int_Tables_number 1
_cell_length_a 3.454
_cell_length_b 3.592
_cell_length_c 7.197
_cell_angle_alpha 104.45
_cell_angle_beta 103.89
_cell_angle_gamma 90.00
loop_
_symmetry_equiv_pos_as_xyz
'x,y,z'
loop_
_atom_site_label
_atom_site_type_symbol
_atom_site_fract_x
_atom_site_fract_y
_atom_site_fract_z
Ca1 Ca 0.206 0.706 0.413
P1 P 0.029 0.029 0.058
P2 P 0.811 0.311 0.622
Zr1 Zr 0.454 0.454 0.907
```

Summary:
N(E_F): 0.162 states/eV per atom
space group: Imm2 (44)


DFT (SCAN) results for a PBEsol-optimized structure of CaPb.

```
data_CaPb
_chemical_formula_sum 'Ca1 Pb1'
_symmetry_space_group_name_H-M 'P 1'
_symmetry_Int_Tables_number 1
_cell_length_a 3.531
_cell_length_b 3.531
_cell_length_c 4.557
_cell_angle_alpha 90.00
_cell_angle_beta 90.00
_cell_angle_gamma 90.00
loop_
_symmetry_equiv_pos_as_xyz
'x,y,z'
loop_
_atom_site_label
_atom_site_type_symbol
_atom_site_fract_x
_atom_site_fract_y
_atom_site_fract_z
Pb1 Pb 0.500 0.500 0.500
Ca1 Ca 0.000 0.000 0.000
```

Summary:
N(E_F): 0.234 states/eV per atom
space group: P4/mmm (123)


DFT (SCAN) results for a PBEsol-optimized structure of Ca5Pb3.

```
data_Ca5Pb3
_chemical_formula_sum 'Ca30 Pb18'
_symmetry_space_group_name_H-M 'P 1'
_symmetry_Int_Tables_number 1
_cell_length_a 6.783
_cell_length_b 16.145
_cell_length_c 16.145
_cell_angle_alpha 120.00
_cell_angle_beta 90.00
_cell_angle_gamma 90.00
loop_
_symmetry_equiv_pos_as_xyz
'x,y,z'
loop_
_atom_site_label
_atom_site_type_symbol
_atom_site_fract_x
_atom_site_fract_y
_atom_site_fract_z
Ca1 Ca 0.239 0.754 0.508
Ca2 Ca 0.278 0.090 0.910
Ca3 Ca 0.488 0.332 0.991
Ca4 Ca 0.710 0.576 0.151
Ca5 Ca 0.739 0.246 0.754
Ca6 Ca 0.210 0.424 0.576
Ca7 Ca 0.710 0.849 0.424
Ca8 Ca 0.988 0.341 0.332
Ca9 Ca 0.239 0.492 0.246
Ca10 Ca 0.278 0.821 0.910
Ca11 Ca 0.739 0.508 0.754
Ca12 Ca 0.710 0.576 0.424
Ca13 Ca 0.988 0.668 0.659
Ca14 Ca 0.488 0.659 0.991
Ca15 Ca 0.488 0.009 0.341
Ca16 Ca 0.988 0.341 0.009
Ca17 Ca 0.210 0.151 0.576
Ca18 Ca 0.488 0.659 0.668
Ca19 Ca 0.210 0.424 0.849
Ca20 Ca 0.278 0.090 0.179
Ca21 Ca 0.988 0.668 0.009
Ca22 Ca 0.488 0.009 0.668
Ca23 Ca 0.778 0.910 0.090
Ca24 Ca 0.239 0.754 0.246
Ca25 Ca 0.988 0.991 0.332
Ca26 Ca 0.778 0.179 0.090
Ca27 Ca 0.488 0.332 0.341
Ca28 Ca 0.739 0.246 0.492
Ca29 Ca 0.778 0.910 0.821
Ca30 Ca 0.988 0.991 0.659
Pb1 Pb 0.223 0.541 0.081
Pb2 Pb 0.798 0.130 0.870
Pb3 Pb 0.298 0.260 0.130
Pb4 Pb 0.298 0.870 0.130
Pb5 Pb 0.200 0.595 0.798
Pb6 Pb 0.798 0.130 0.260
Pb7 Pb 0.798 0.740 0.870
Pb8 Pb 0.200 0.202 0.798
Pb9 Pb 0.223 0.541 0.459
Pb10 Pb 0.700 0.798 0.202
Pb11 Pb 0.723 0.459 0.919
Pb12 Pb 0.298 0.870 0.740
Pb13 Pb 0.200 0.202 0.405
Pb14 Pb 0.700 0.405 0.202
Pb15 Pb 0.700 0.798 0.595
Pb16 Pb 0.723 0.459 0.541
Pb17 Pb 0.223 0.919 0.459
Pb18 Pb 0.723 0.081 0.541
```

Summary:
N(E_F): 0.417 states/eV per atom
space group: P6_3mc (186)


DFT (SCAN) results for a PBEsol-optimized structure of CaPb5.

```
data_CaPb5
_chemical_formula_sum 'Ca1 Pb5'
_symmetry_space_group_name_H-M 'P 1'
_symmetry_Int_Tables_number 1
_cell_length_a 4.816
_cell_length_b 4.903
_cell_length_c 7.864
_cell_angle_alpha 71.84
_cell_angle_beta 90.00
_cell_angle_gamma 90.00
loop_
_symmetry_equiv_pos_as_xyz
'x,y,z'
loop_
_atom_site_label
_atom_site_type_symbol
_atom_site_fract_x
_atom_site_fract_y
_atom_site_fract_z
Ca1 Ca 0.000 0.500 0.000
Pb1 Pb 0.500 0.334 0.333
Pb2 Pb 0.000 0.167 0.667
Pb3 Pb 0.500 0.000 0.000
Pb4 Pb 0.000 0.833 0.333
Pb5 Pb 0.500 0.666 0.667
```

Summary:
N(E_F): 0.439 states/eV per atom
space group: Cmmm (65)


DFT (SCAN) results for a PBEsol-optimized structure of CaPb3.

```
data_CaPb3
_chemical_formula_sum 'Ca1 Pb3'
_symmetry_space_group_name_H-M 'P 1'
_symmetry_Int_Tables_number 1
_cell_length_a 3.751
_cell_length_b 5.578
_cell_length_c 6.488
_cell_angle_alpha 115.46
_cell_angle_beta 106.80
_cell_angle_gamma 90.00
loop_
_symmetry_equiv_pos_as_xyz
'x,y,z'
loop_
_atom_site_label
_atom_site_type_symbol
_atom_site_fract_x
_atom_site_fract_y
_atom_site_fract_z
Pb1 Pb 0.500 0.519 0.000
Pb2 Pb 0.245 0.892 0.489
Pb3 Pb 0.755 0.402 0.511
Ca1 Ca 0.000 0.020 0.000
```

Summary:
N(E_F): 0.532 states/eV per atom
space group: Imm2 (44)


DFT (SCAN) results for a PBEsol-optimized structure of Ca5Pb3.

```
data_Ca5Pb3
_chemical_formula_sum 'Ca10 Pb6'
_symmetry_space_group_name_H-M 'P 1'
_symmetry_Int_Tables_number 1
_cell_length_a 6.755
_cell_length_b 9.332
_cell_length_c 9.332
_cell_angle_alpha 120.00
_cell_angle_beta 90.00
_cell_angle_gamma 90.00
loop_
_symmetry_equiv_pos_as_xyz
'x,y,z'
loop_
_atom_site_label
_atom_site_type_symbol
_atom_site_fract_x
_atom_site_fract_y
_atom_site_fract_z
Ca1 Ca 0.000 0.667 0.333
Ca2 Ca 0.000 0.333 0.667
Ca3 Ca 0.500 0.333 0.667
Ca4 Ca 0.500 0.667 0.333
Ca5 Ca 0.250 0.267 0.267
Ca6 Ca 0.250 0.000 0.733
Ca7 Ca 0.250 0.733 0.000
Ca8 Ca 0.750 0.733 0.733
Ca9 Ca 0.750 0.000 0.267
Ca10 Ca 0.750 0.267 0.000
Pb1 Pb 0.250 0.613 0.613
Pb2 Pb 0.250 0.000 0.387
Pb3 Pb 0.250 0.387 0.000
Pb4 Pb 0.750 0.387 0.387
Pb5 Pb 0.750 0.000 0.613
Pb6 Pb 0.750 0.613 0.000
```

Summary:
N(E_F): 0.716 states/eV per atom
space group: P6_3/mcm (193)


| no. | DFT formation energy (eV/atom) | total magnetization (Bohr magnetons per cell) |
| --- | --- | --- |
| 1 | -1.028 | 0.00 |
| 2 | -1.017 | 0.00 |
| 3 | -0.791 | 0.00 |
| 4 | -0.443 | 1.03 |
| 5 | -1.447 | 0.00 |
| 6 | -0.103 | 0.33 |
| 7 | -1.151 | 0.00 |
| 8 | -0.725 | 0.00 |
| 9 | -0.720 | 0.32 |
| 10 | -0.254 | 0.00 |
| 11 | -0.343 | 0.00 |
| 12 | -0.718 | 0.00 |